VASP calculation (PBE) on a geometry-optimized Ag14SnPd structure.

a b c (Å): 5.905 5.905 9.652
angles (deg): 90.00 90.00 121.08
Fractional coordinates of all 16 atoms:
Ag 0.537 0.960 0.500
Ag 0.878 0.627 0.248
Ag 0.374 0.626 0.246
Pd 0.039 0.961 0.500
Ag 0.373 0.122 0.248
Ag 0.876 0.124 0.250
Ag 0.211 0.289 0.000
Sn 0.538 0.462 0.500
Ag 0.711 0.289 0.000
Ag 0.040 0.463 0.500
Ag 0.878 0.627 0.752
Ag 0.876 0.124 0.750
Ag 0.711 0.789 0.000
Ag 0.373 0.122 0.752
Ag 0.374 0.626 0.754
Ag 0.211 0.789 0.000

Calculated values
Crystal system = orthorhombic
Density of states at the Fermi level = 0.295 states/eV/atom
Energy of formation from the pure elements = -0.014 eV per atom